A plane-wave DFT calculation with PBE was carried out for crystalline LaPr2Cd at its relaxed geometry.

Summary:
The total energy comes out at -3.968 eV per atom. As for the relative energy among the computed polymorphs: 38.4 meV/atom. The total magnetization is 0.000 μB per atom.

Unit cell a=5.059 b=5.036 c=5.036 alpha=90.00 beta=90.00 gamma=90.00
Sites, in units of the cell vectors:
Pr1 0.000 0.000 0.500
La1 0.500 0.500 0.500
Cd1 0.500 0.000 0.000
Pr2 0.000 0.500 0.000


A plane-wave DFT calculation with PBE was carried out for crystalline La5PrCd4 at its relaxed geometry.

Summary:
The total energy comes out at -3.566 eV per atom. The total magnetization is 0.092 μB per atom.

Unit cell a=3.890 b=3.890 c=21.034 alpha=90.00 beta=90.00 gamma=90.00
Site moments in Bohr magnetons follow the coordinates.
Sites, in units of the cell vectors:
Cd1 0.000 0.000 0.595  0.01
La1 0.500 0.500 0.500  0.12
Pr1 0.000 0.000 0.000  0.00
La2 0.500 0.500 0.880  0.01
La3 0.500 0.500 0.310  0.13
Cd2 0.000 0.000 0.213  0.00
Cd3 0.000 0.000 0.405  0.01
La4 0.500 0.500 0.120  0.01
Cd4 0.000 0.000 0.787  0.00
La5 0.500 0.500 0.690  0.13


A plane-wave DFT calculation with PBE was carried out for crystalline La2PrCd3 at its relaxed geometry.

Summary:
The total energy comes out at -3.222 eV per atom. As for the relative energy among the computed polymorphs: 0.0 meV/atom. The total magnetization is 0.171 μB per atom.

Unit cell a=5.542 b=5.542 c=6.783 alpha=90.00 beta=90.00 gamma=120.00
Site moments in Bohr magnetons follow the coordinates.
Sites, in units of the cell vectors:
Cd1 0.333 0.667 0.165  0.01
Cd2 0.000 0.000 0.500  0.01
Cd3 0.667 0.333 0.835  0.01
La1 0.667 0.333 0.332  0.14
La2 0.333 0.667 0.668  0.14
Pr1 0.000 0.000 0.000  0.17


A plane-wave DFT calculation with PBE was carried out for crystalline La3Pr12Cd at its relaxed geometry.

Summary:
The total energy comes out at -4.577 eV per atom. The total magnetization is 0.000 μB per atom.

Unit cell a=5.190 b=5.190 c=20.959 alpha=90.00 beta=90.00 gamma=90.00
Sites, in units of the cell vectors:
Pr1 0.000 0.500 0.373
Pr2 0.500 0.500 0.757
Pr3 0.500 0.500 0.000
Pr4 0.500 0.000 0.119
Pr5 0.500 0.000 0.373
La1 0.000 0.000 0.754
Pr6 0.000 0.500 0.627
Pr7 0.500 0.500 0.243
Pr8 0.500 0.500 0.500
Pr9 0.000 0.500 0.119
Cd1 0.000 0.000 0.000
La2 0.000 0.000 0.500
Pr10 0.500 0.000 0.881
Pr11 0.000 0.500 0.881
La3 0.000 0.000 0.246
Pr12 0.500 0.000 0.627


A plane-wave DFT calculation with PBE was carried out for crystalline LaPr2Cd6 at its relaxed geometry.

Summary:
The total energy comes out at -2.577 eV per atom. The total magnetization is 0.054 μB per atom.

Unit cell a=3.497 b=8.876 c=8.876 alpha=120.00 beta=90.00 gamma=90.00
Site moments in Bohr magnetons follow the coordinates.
Sites, in units of the cell vectors:
Cd1 0.500 0.666 0.666  0.00
Cd2 0.500 0.666 0.000  0.00
Cd3 0.500 0.000 0.666  0.00
Pr1 0.000 0.667 0.333  0.07
La1 0.000 0.000 0.000  0.08
Cd4 0.500 0.334 0.000  0.00
Cd5 0.500 0.334 0.334  0.00
Pr2 0.000 0.333 0.667  0.07
Cd6 0.500 0.000 0.334  0.00


A plane-wave DFT calculation with PBE was carried out for crystalline La8Pr6Cd at its relaxed geometry.

Summary:
The total energy comes out at -4.539 eV per atom. The total magnetization is 0.000 μB per atom.

Unit cell a=6.736 b=9.619 c=9.619 alpha=120.00 beta=90.00 gamma=90.00
Sites, in units of the cell vectors:
Pr1 0.665 0.444 0.351
Pr2 0.335 0.556 0.649
La1 0.822 0.729 0.772
Pr3 0.665 0.907 0.556
Cd1 0.500 0.000 0.000
La2 0.178 0.956 0.729
La3 0.178 0.271 0.228
La4 0.178 0.772 0.044
La5 0.822 0.228 0.956
La6 0.132 0.667 0.333
La7 0.868 0.333 0.667
La8 0.822 0.044 0.271
Pr4 0.335 0.351 0.907
Pr5 0.665 0.649 0.093
Pr6 0.335 0.093 0.444


Number 1: energy of formation from the pure elements -0.117 eV/atom. Number 2: energy of formation from the pure elements -0.258 eV/atom. Number 3: energy of formation from the pure elements -0.325 eV/atom. Number 4: energy of formation from the pure elements -0.011 eV/atom. Number 5: energy of formation from the pure elements -0.357 eV/atom. Number 6: energy of formation from the pure elements 0.062 eV/atom.